Entry from the Alexandria database: a relaxed YTaMn2 crystal (PBE-GGA).

For the total magnetization, the calculation gives 5.4 μB per formula unit. Its space group is F-43m, No. 216. Its formation enthalpy at 0 K is 0.475 eV per atom. Its final energy is -8.69 eV/atom.

a b c (Å): 4.691 4.691 4.691
angles (deg): 60.00 60.00 60.00
Site moments in Bohr magnetons follow the coordinates.
Positions (direct):
1 Mn 0.000 0.000 0.000  3.49
2 Mn 0.250 0.250 0.250  3.03
3 Ta 0.500 0.500 0.500  -0.91
4 Y 0.750 0.750 0.750  -0.23